! CsThI6 | Alexandria | PBE-GGA | optimized geometry; values from VASP
&SYSTEM
  ibrav = 0, nat = 8, ntyp = 3
/
ATOMIC_SPECIES
Cs 132.91 Cs.upf
Th 232.04 Th.upf
I 126.90 I.upf
CELL_PARAMETERS angstrom
4.195 2.422 7.605
-4.195 2.422 7.605
0.000 -4.844 7.605
ATOMIC_POSITIONS crystal
Cs 0.000 0.000 0.000
Th 0.500 0.500 0.500
I 0.079 0.593 0.593
I 0.407 0.407 0.921
I 0.407 0.921 0.407
I 0.593 0.079 0.593
I 0.593 0.593 0.079
I 0.921 0.407 0.407
! - Total magnetic moment: 0.0 Bohr magnetons per cell
! - D(E_F): 10.68 states/eV/f.u.
! - SG: R-3m (166)
! - Relative energy among the computed polymorphs: 0.0 meV per atom
! - Raw formation energy: -1063 meV per atom